## SbTe2Pb (PBE-GGA)

Data for a geometry-optimized SbTe2Pb structure.

Cell lengths 8.782, 8.782, 8.782 Å; angles 28.02, 28.02, 28.02 degrees
Atoms (fractional coordinates):
Sb 0.000 0.000 0.000
Te 0.410 0.410 0.410
Te 0.590 0.590 0.590
Pb 0.169 0.169 0.169

Results
- magnetization (μB/atom) = 0.000
- density of states at the Fermi level (states/eV/f.u.) = 1.836
- space group = R3m, No. 160
- raw total energy (eV per atom) = -3.6323